# 1
## Nd4Sm3Tm2 (PBE)

Data for an optimized crystal structure of Nd4Sm3Tm2.

Calculated values
**Final energy**: -4.59 eV/atom
**E_form**: 0.82 eV/f.u.

```
data_Nd4Sm3Tm2
_space_group_name_H-M_alt 'C 1 2/m 1'
_space_group_IT_number 12
_space_group_name_Hall '-C 2y'
_cell_length_a 12.8720
_cell_length_b 3.6853
_cell_length_c 14.4672
_cell_angle_alpha 90.00
_cell_angle_beta 115.58
_cell_angle_gamma 90.00
loop_
_atom_site_label
_atom_site_type_symbol
_atom_site_fract_x
_atom_site_fract_y
_atom_site_fract_z
Nd1 Nd 0.2171 0.0000 0.1085
Nd2 Nd 0.2197 0.5000 0.3717
Sm1 Sm 0.0000 0.5000 0.5000
Sm2 Sm 0.0069 0.5000 0.8863
Tm1 Tm 0.0520 0.0000 0.7097
```

=====

# 2
## LaTaBe2 (PBE)

Data for an optimized crystal structure of LaTaBe2.

Calculated values
**Final energy**: -5.48 eV/atom
**E_form**: 2.31 eV/f.u.

```
data_LaTaBe2
_space_group_name_H-M_alt 'R -3 m'
_space_group_IT_number 166
_space_group_name_Hall '-R 3 2"'
_cell_length_a 3.2522
_cell_length_b 3.2522
_cell_length_c 23.6710
_cell_angle_alpha 90.00
_cell_angle_beta 90.00
_cell_angle_gamma 120.00
loop_
_atom_site_label
_atom_site_type_symbol
_atom_site_fract_x
_atom_site_fract_y
_atom_site_fract_z
La1 La 0.0000 0.0000 0.0000
Ta1 Ta 0.0000 0.0000 0.5000
Be1 Be 0.0000 0.0000 0.2372
```

=====

# 3
## BaZnPt (PBE)

Data for an optimized crystal structure of BaZnPt.

Calculated values
**Final energy**: -3.74 eV/atom
**E_form**: -1.99 eV/f.u.

```
data_BaZnPt
_space_group_name_H-M_alt 'P -6 m 2'
_space_group_IT_number 187
_space_group_name_Hall 'P -6 2'
_cell_length_a 4.4930
_cell_length_b 4.4930
_cell_length_c 4.5904
_cell_angle_alpha 90.00
_cell_angle_beta 90.00
_cell_angle_gamma 120.00
loop_
_atom_site_label
_atom_site_type_symbol
_atom_site_fract_x
_atom_site_fract_y
_atom_site_fract_z
Ba1 Ba 0.0000 0.0000 0.0000
Zn1 Zn 0.3333 0.6667 0.5000
Pt1 Pt 0.6667 0.3333 0.5000
```

=====

# 4
## NdY3Er2Tm6 (PBE)

Data for an optimized crystal structure of NdY3Er2Tm6.

Calculated values
**Final energy**: -4.98 eV/atom
**E_form**: 0.32 eV/f.u.

```
data_NdY3Er2Tm6
_space_group_name_H-M_alt 'C 1 2/m 1'
_space_group_IT_number 12
_space_group_name_Hall '-C 2y'
_cell_length_a 6.1127
_cell_length_b 10.5746
_cell_length_c 11.6916
_cell_angle_alpha 90.00
_cell_angle_beta 100.01
_cell_angle_gamma 90.00
loop_
_atom_site_label
_atom_site_type_symbol
_atom_site_fract_x
_atom_site_fract_y
_atom_site_fract_z
Nd1 Nd 0.0000 0.0000 0.0000
Y1 Y 0.0000 0.1670 0.5000
Y2 Y 0.0000 0.5000 0.5000
Er1 Er 0.0000 0.3334 0.0000
Tm1 Tm 0.2487 0.3331 0.7503
Tm2 Tm 0.2498 0.0000 0.7504
```

=====

# 5
## LiTbNd2 (PBE)

Data for an optimized crystal structure of LiTbNd2.

Calculated values
**Final energy**: -3.90 eV/atom
**E_form**: 0.47 eV/f.u.

```
data_LiTbNd2
_space_group_name_H-M_alt 'P 3 m 1'
_space_group_IT_number 156
_space_group_name_Hall 'P 3 -2"'
_cell_length_a 3.5562
_cell_length_b 3.5562
_cell_length_c 11.9395
_cell_angle_alpha 90.00
_cell_angle_beta 90.00
_cell_angle_gamma 120.00
loop_
_atom_site_label
_atom_site_type_symbol
_atom_site_fract_x
_atom_site_fract_y
_atom_site_fract_z
Li1 Li 0.0000 0.0000 0.0000
Tb1 Tb 0.3333 0.6667 0.4843
Nd1 Nd 0.0000 0.0000 0.7259
Nd2 Nd 0.6667 0.3333 0.2387
```

=====

# 6
## NaTl3Hg (PBE)

Data for an optimized crystal structure of NaTl3Hg.

Calculated values
**Final energy**: -1.79 eV/atom
**E_form**: -0.25 eV/f.u.

```
data_NaTl3Hg
_space_group_name_H-M_alt 'P n m a'
_space_group_IT_number 62
_space_group_name_Hall '-P 2ac 2n'
_cell_length_a 7.3404
_cell_length_b 8.9091
_cell_length_c 9.0869
_cell_angle_alpha 90.00
_cell_angle_beta 90.00
_cell_angle_gamma 90.00
loop_
_atom_site_label
_atom_site_type_symbol
_atom_site_fract_x
_atom_site_fract_y
_atom_site_fract_z
Na1 Na 0.2189 0.2500 0.0411
Tl1 Tl 0.1204 0.5542 0.8356
Tl2 Tl 0.1958 0.7500 0.1677
Hg1 Hg 0.0000 0.0000 0.5000
```

=====

# 7
## Li2RhCl (PBE)

Data for an optimized crystal structure of Li2RhCl.

Calculated values
**Final energy**: -3.59 eV/atom
**Formation energy (no corrections)**: -330.6 meV per atom

```
data_Li2RhCl
_space_group_name_H-M_alt 'I -4 2 d'
_space_group_IT_number 122
_space_group_name_Hall 'I -4 2bw'
_cell_length_a 6.8682
_cell_length_b 6.8682
_cell_length_c 4.9910
_cell_angle_alpha 90.00
_cell_angle_beta 90.00
_cell_angle_gamma 90.00
loop_
_atom_site_label
_atom_site_type_symbol
_atom_site_fract_x
_atom_site_fract_y
_atom_site_fract_z
Li1 Li 0.2142 0.7500 0.1250
Rh1 Rh 0.0000 0.0000 0.5000
Cl1 Cl 0.0000 0.0000 0.0000
```

=====

# 8
## YTm3Tl3Te8 (PBE)

Data for an optimized crystal structure of YTm3Tl3Te8.

Calculated values
**Final energy**: -4.51 eV/atom
**Formation energy (no corrections)**: -1039.6 meV per atom

```
data_YTm3Tl3Te8
_space_group_name_H-M_alt 'C 1 2/m 1'
_space_group_IT_number 12
_space_group_name_Hall '-C 2y'
_cell_length_a 15.1130
_cell_length_b 8.7098
_cell_length_c 9.6134
_cell_angle_alpha 90.00
_cell_angle_beta 121.65
_cell_angle_gamma 90.00
loop_
_atom_site_label
_atom_site_type_symbol
_atom_site_fract_x
_atom_site_fract_y
_atom_site_fract_z
Y1 Y 0.0000 0.0000 0.0000
Tm1 Tm 0.0000 0.5000 0.0000
Tm2 Tm 0.2500 0.2500 0.0000
Tl1 Tl 0.0000 0.0000 0.5000
Tl2 Tl 0.2500 0.2500 0.5000
Te1 Te 0.0133 0.2539 0.7860
Te2 Te 0.2375 0.5000 0.2126
Te3 Te 0.2406 0.0000 0.2140
```

=====

Question: Number 4 is which compound?
Answer: NdY3Er2Tm6

=====

Question: Among the records above, which one has the lowest final energy?
Answer: LaTaBe2

=====

Question: Look up the final energy of the second one.
Answer: -5.48 eV/atom